# 1
A geometry-optimized Mg5Ag4Pd structure. Source: Alexandria, functional GGA-PBE.

Properties
size of the total moment	0.00	μB/cell
calculated total energy	-2.798	eV/atom
D(E_F)	2.8	states/eV/cell
formation energy from the elements	-0.341	eV/atom

a b c (Å): 3.3044 3.3044 16.5252
angles (deg): 90.00 90.00 90.00
Space group P4/mmm (No. 123)
Asymmetric unit:
1 Mg 0.0000 0.0000 0.0000 [1 per cell]
2 Mg 0.0000 0.0000 0.2029 [2 per cell]
3 Mg 0.0000 0.0000 0.4084 [2 per cell]
4 Ag 0.5000 0.5000 0.1013 [2 per cell]
5 Ag 0.5000 0.5000 0.3052 [2 per cell]
6 Pd 0.5000 0.5000 0.5000 [1 per cell]



# 2
A geometry-optimized ZrCr2Fe structure. Source: Alexandria, functional GGA-PBE.

Properties
size of the total moment	1.75	μB/cell
calculated total energy	-8.786	eV/atom
D(E_F)	4.9	states/eV/cell
offset from the most stable computed form	0.58	eV/f.u.
formation energy from the elements	0.278	eV/atom

a b c (Å): 2.9493 2.9493 6.7149
angles (deg): 90.00 90.00 90.00
Space group P4/mmm (No. 123)
Asymmetric unit:
1 Zr 0.0000 0.0000 0.0000 [1 per cell]
2 Cr 0.5000 0.5000 0.2983 [2 per cell]
3 Fe 0.0000 0.0000 0.5000 [1 per cell]



# 3
A geometry-optimized SmCd3Pd structure. Source: Alexandria, functional GGA-PBE.

Properties
size of the total moment	0.00	μB/cell
calculated total energy	-2.963	eV/atom
D(E_F)	4.4	states/eV/cell
offset from the most stable computed form	0.00	eV/f.u.
formation energy from the elements	-0.431	eV/atom

a b c (Å): 5.5380 5.8287 6.9964
angles (deg): 90.00 93.03 90.00
Space group P2_1/m (No. 11)
Asymmetric unit:
1 Sm 0.1466 0.2500 0.3707 [2 per cell]
2 Cd 0.0900 0.7500 0.1025 [2 per cell]
3 Cd 0.3690 0.0039 0.8039 [4 per cell]
4 Pd 0.3370 0.7500 0.4590 [2 per cell]



# 4
A geometry-optimized Np2SiP3Ir4 structure. Source: Alexandria, functional GGA-PBE.

Properties
size of the total moment	6.84	μB/cell
calculated total energy	-8.981	eV/atom
raw formation energy	-0.683	eV per atom
D(E_F)	20.9	states/eV/cell

a b c (Å): 4.0792 4.0792 9.8499
angles (deg): 90.00 90.00 90.00
Space group P-4m2 (No. 115)
Asymmetric unit:
1 Np 0.0000 0.5000 0.2464 [2 per cell]
2 Si 0.5000 0.5000 0.0000 [1 per cell]
3 P 0.0000 0.0000 0.0000 [1 per cell]
4 P 0.0000 0.5000 0.6392 [2 per cell]
5 Ir 0.0000 0.0000 0.5000 [1 per cell]
6 Ir 0.0000 0.5000 0.8763 [2 per cell]
7 Ir 0.5000 0.5000 0.5000 [1 per cell]



# 5
A geometry-optimized Sr3Tl7In2 structure. Source: Alexandria, functional GGA-PBE.

Properties
size of the total moment	0.00	μB/cell
calculated total energy	-2.477	eV/atom
D(E_F)	11.5	states/eV/cell
offset from the most stable computed form	0.06	eV/f.u.
formation energy from the elements	-0.220	eV/atom

a b c (Å): 5.1487 32.4362 4.6748
angles (deg): 90.00 90.00 90.00
Space group Cmmm (No. 65)
Asymmetric unit:
1 Sr 0.0000 0.0000 0.0000 [2 per cell]
2 Sr 0.0000 0.1775 0.0000 [4 per cell]
3 Tl 0.0000 0.0825 0.5000 [4 per cell]
4 Tl 0.0000 0.2723 0.5000 [4 per cell]
5 Tl 0.0000 0.4229 0.0000 [4 per cell]
6 Tl 0.0000 0.5000 0.5000 [2 per cell]
7 In 0.0000 0.3617 0.5000 [4 per cell]



# 6
A geometry-optimized Ba2OsC structure. Source: Alexandria, functional GGA-PBE.

Properties
size of the total moment	1.89	μB/cell
calculated total energy	-5.806	eV/atom
D(E_F)	13.2	states/eV/cell
formation energy from the elements	0.269	eV/atom

a b c (Å): 11.4653 11.4653 3.9426
angles (deg): 90.00 90.00 90.00
Space group I-42d (No. 122)
Asymmetric unit:
1 Ba 0.0481 0.2500 0.1250 [8 per cell]
2 Os 0.0000 0.0000 0.5000 [4 per cell]
3 C 0.0000 0.0000 0.0000 [4 per cell]



Q: calculated total energy of number 3 (SmCd3Pd)?
A: -2.963 eV/atom



Copy entry 5 word for word.
A geometry-optimized Sr3Tl7In2 structure. Source: Alexandria, functional GGA-PBE.

Properties
size of the total moment	0.00	μB/cell
calculated total energy	-2.477	eV/atom
D(E_F)	11.5	states/eV/cell
offset from the most stable computed form	0.06	eV/f.u.
formation energy from the elements	-0.220	eV/atom

a b c (Å): 5.1487 32.4362 4.6748
angles (deg): 90.00 90.00 90.00
Space group Cmmm (No. 65)
Asymmetric unit:
1 Sr 0.0000 0.0000 0.0000 [2 per cell]
2 Sr 0.0000 0.1775 0.0000 [4 per cell]
3 Tl 0.0000 0.0825 0.5000 [4 per cell]
4 Tl 0.0000 0.2723 0.5000 [4 per cell]
5 Tl 0.0000 0.4229 0.0000 [4 per cell]
6 Tl 0.0000 0.5000 0.5000 [2 per cell]
7 In 0.0000 0.3617 0.5000 [4 per cell]